Nd6CoHg3: optimized geometry, PBE.

Unit cell a=8.4870 b=8.4870 c=8.4870 alpha=93.42 beta=93.42 gamma=93.42
With the nearest neighbours (Å) after each atom.
Positions (direct):
Nd 0.4675 0.5778 0.8098  1 Co 2.71
Nd 0.0777 0.9672 0.3096  1 Co 2.71
Nd 0.9223 0.0328 0.6904  1 Co 2.71
Nd 0.8098 0.4675 0.5778  1 Co 2.71
Nd 0.3096 0.0777 0.9672  1 Co 2.71
Nd 0.9672 0.3096 0.0777  1 Co 2.71
Nd 0.5778 0.8098 0.4675  1 Co 2.71
Nd 0.1902 0.5325 0.4222  1 Co 2.71
Nd 0.4222 0.1902 0.5325  1 Co 2.71
Nd 0.6904 0.9223 0.0328  1 Co 2.71
Nd 0.5325 0.4222 0.1902  1 Co 2.71
Nd 0.0328 0.6904 0.9223  1 Co 2.71
Co 0.0000 0.0000 0.0000  6 Nd 2.71
Co 0.5000 0.5000 0.5000  6 Nd 2.71
Hg 0.3521 0.7502 0.1483  8 Nd 3.22-3.37
Hg 0.8517 0.6479 0.2498  8 Nd 3.22-3.37
Hg 0.1483 0.3521 0.7502  8 Nd 3.22-3.37
Hg 0.6479 0.2498 0.8517  8 Nd 3.22-3.37
Hg 0.2498 0.8517 0.6479  8 Nd 3.22-3.37
Hg 0.7502 0.1483 0.3521  8 Nd 3.22-3.37

Calculated values
**Density**: 8.3 Mg/m³
**Magnetization**: 0.00 μB/f.u.
**ΔH_f (0 K)**: -0.23 eV/atom